AgPt after structural relaxation, computed with GGA-PBEsol.

It has space group P2_1/m (No. 11), with a = 8.4068 Å, b = 2.7796 Å, c = 8.4461 Å, α = 90.00°, β = 108.39° and γ = 90.00°. Symmetry generates all atoms from Ag at (0.1230, 0.2500, 0.2931), Ag at (0.3700, 0.7500, 0.8737), Ag at (0.3719, 0.7500, 0.2036), Pt at (0.1180, 0.2500, 0.9558), Pt at (0.1305, 0.2500, 0.6186) and Pt at (0.3806, 0.7500, 0.5420).

The final energy comes out at -61.61 eV for the cell shown. The calculation puts the calculated formation energy at 0.1 kcal/mol of atoms. The value obtained for the volume is 15.61 A^3/atom. For the density of states at the Fermi level, the calculation gives 1.28 states/eV/f.u.